Nd4HN3 (GGA-PBE, relaxed); space-group type = Pm-3m (221); density of states at the Fermi level = 5.56 states/eV/cell; E_tot = -55.6 eV for the cell shown
1.0
5.156 0.000 0.000
0.000 5.156 0.000
0.000 0.000 5.156
Nd H N
4 1 3
direct
0.000 0.000 0.000
0.000 0.500 0.500
0.500 0.000 0.500
0.500 0.500 0.000
0.500 0.500 0.500
0.000 0.000 0.500
0.000 0.500 0.000
0.500 0.000 0.000

YCrRh2 (GGA-PBE, relaxed); space-group type = P4/mmm (123); formation enthalpy at 0 K = -0.3208 eV per atom; density of states at the Fermi level = 3.21 states/eV/cell; E_tot = -32.1 eV for the cell shown
1.0
4.452 0.000 0.000
0.000 4.452 0.000
0.000 0.000 3.462
Y Cr Rh
1 1 2
direct
0.000 0.000 0.000
0.500 0.500 0.000
0.000 0.500 0.500
0.500 0.000 0.500

Zn3GaPd4 (GGA-PBE, relaxed); space-group type = C2/m (12); formation enthalpy at 0 K = -0.5730 eV per atom; density of states at the Fermi level = 1.94 states/eV/cell; E_tot = -32.2 eV for the cell shown
1.0
2.886 -3.507 0.000
2.886 3.507 0.000
-2.866 0.000 5.748
Zn Ga Pd
3 1 4
direct
0.000 0.000 0.000
0.247 0.247 0.497
0.753 0.753 0.503
0.500 0.500 0.000
0.125 0.624 0.248
0.376 0.875 0.752
0.624 0.125 0.248
0.875 0.376 0.752

K3WN (GGA-PBE, relaxed); space-group type = Pm-3m (221); density of states at the Fermi level = 3.23 states/eV/cell; E_tot = -16.6 eV for the cell shown
1.0
5.589 0.000 0.000
0.000 5.589 0.000
0.000 0.000 5.589
K W N
3 1 1
direct
0.000 0.000 0.500
0.000 0.500 0.000
0.500 0.000 0.000
0.500 0.500 0.500
0.000 0.000 0.000